Entry 1:
# InSe4 (PBE, relaxed)
data_InSe4
_chemical_formula_sum 'In2 Se8'
_space_group_name_H-M_alt 'I 4/m'
_space_group_IT_number 87
_space_group_name_Hall '-I 4'
_cell_length_a 7.939
_cell_length_b 7.939
_cell_length_c 4.692
_cell_angle_alpha 90.00
_cell_angle_beta 90.00
_cell_angle_gamma 90.00
loop_
_atom_site_label
_atom_site_type_symbol
_atom_site_fract_x
_atom_site_fract_y
_atom_site_fract_z
In1 In 0.000 0.000 0.000
Se1 Se 0.195 0.714 0.000
# polymorph energy (0 for the lowest one)	0	meV/atom
# Fermi-level density of states	2.3	states/eV/cell
# formation energy (no corrections)	0.01	eV per atom

=====

Entry 2:
# Mn2Fe2Re (PBE, relaxed)
data_Mn2Fe2Re
_chemical_formula_sum 'Mn4 Fe4 Re2'
_space_group_name_H-M_alt 'P 4/m b m'
_space_group_IT_number 127
_space_group_name_Hall '-P 4 2ab'
_cell_length_a 6.724
_cell_length_b 6.724
_cell_length_c 2.543
_cell_angle_alpha 90.00
_cell_angle_beta 90.00
_cell_angle_gamma 90.00
loop_
_atom_site_label
_atom_site_type_symbol
_atom_site_fract_x
_atom_site_fract_y
_atom_site_fract_z
Mn1 Mn 0.121 0.379 0.000
Fe1 Fe 0.172 0.672 0.500
Re1 Re 0.000 0.000 0.000
# ΔE_f	0.148	eV per atom
# polymorph energy (0 for the lowest one)	11	meV/atom
# Fermi-level density of states	12.5	states/eV/cell

=====

Entry 3:
# LiHoAl2Pt4 (PBE, relaxed)
data_LiHoAl2Pt4
_chemical_formula_sum 'Li3 Ho3 Al6 Pt12'
_space_group_name_H-M_alt 'R -3 m'
_space_group_IT_number 166
_space_group_name_Hall '-R 3 2"'
_cell_length_a 4.2835
_cell_length_b 4.2835
_cell_length_c 24.7000
_cell_angle_alpha 90.00
_cell_angle_beta 90.00
_cell_angle_gamma 120.00
loop_
_atom_site_label
_atom_site_type_symbol
_atom_site_fract_x
_atom_site_fract_y
_atom_site_fract_z
Li1 Li 0.0000 0.0000 0.0000
Ho1 Ho 0.0000 0.0000 0.5000
Al1 Al 0.0000 0.0000 0.2619
Pt1 Pt 0.0000 0.0000 0.0994
Pt2 Pt 0.0000 0.0000 0.3692
# ΔE_f	-1.035	eV per atom
# Fermi-level density of states	8.7	states/eV/cell

=====

Entry 4:
# TbPrRhBr (PBE, relaxed)
data_TbPrRhBr
_chemical_formula_sum 'Tb3 Pr3 Rh3 Br3'
_space_group_name_H-M_alt 'R 3 m'
_space_group_IT_number 160
_space_group_name_Hall 'R 3 -2"'
_cell_length_a 4.0616
_cell_length_b 4.0616
_cell_length_c 23.6037
_cell_angle_alpha 90.00
_cell_angle_beta 90.00
_cell_angle_gamma 120.00
loop_
_atom_site_label
_atom_site_type_symbol
_atom_site_fract_x
_atom_site_fract_y
_atom_site_fract_z
Tb1 Tb 0.0000 0.0000 0.0000
Pr1 Pr 0.0000 0.0000 0.7959
Rh1 Rh 0.0000 0.0000 0.3947
Br1 Br 0.0000 0.0000 0.5683
# Fermi-level density of states	1.3	states/eV/cell
# formation energy (no corrections)	-1.07	eV per atom

=====

Entry 5:
# SrTi2RePt (PBE, relaxed)
data_SrTi2RePt
_chemical_formula_sum 'Sr1 Ti2 Re1 Pt1'
_space_group_name_H-M_alt 'P 4/m m m'
_space_group_IT_number 123
_space_group_name_Hall '-P 4 2'
_cell_length_a 4.575
_cell_length_b 4.575
_cell_length_c 4.672
_cell_angle_alpha 90.00
_cell_angle_beta 90.00
_cell_angle_gamma 90.00
loop_
_atom_site_label
_atom_site_type_symbol
_atom_site_fract_x
_atom_site_fract_y
_atom_site_fract_z
Sr1 Sr 0.000 0.000 0.000
Ti1 Ti 0.000 0.500 0.000
Re1 Re 0.000 0.000 0.500
Pt1 Pt 0.500 0.500 0.500
# ΔE_f	2.321	eV per atom
# Fermi-level density of states	6.6	states/eV/cell

=====

Entry 6:
# CeMgAs2 (PBE, relaxed)
data_CeMgAs2
_chemical_formula_sum 'Ce4 Mg4 As8'
_space_group_name_H-M_alt 'P 1 21/c 1'
_space_group_IT_number 14
_cell_length_a 7.283
_cell_length_b 7.882
_cell_length_c 6.851
_cell_angle_alpha 90.00
_cell_angle_beta 104.27
_cell_angle_gamma 90.00
loop_
_space_group_symop_operation_xyz
'x,y,z'
'-x,-y,-z'
'-x,y+1/2,-z+1/2'
'x,-y+1/2,z+1/2'
loop_
_atom_site_label
_atom_site_type_symbol
_atom_site_fract_x
_atom_site_fract_y
_atom_site_fract_z
Ce1 Ce 0.202 0.062 0.307
Mg1 Mg 0.352 0.647 0.385
As1 As 0.066 0.746 0.526
As2 As 0.429 0.129 0.720
# ΔE_f	-0.897	eV per atom
# polymorph energy (0 for the lowest one)	0	meV/atom
# Fermi-level density of states	11.9	states/eV/cell

=====

Entry 7:
# HfGaRe3 (PBE, relaxed)
data_HfGaRe3
_chemical_formula_sum 'Hf1 Ga1 Re3'
_space_group_name_H-M_alt 'P m -3 m'
_space_group_IT_number 221
_space_group_name_Hall '-P 4 2 3'
_cell_length_a 4.815
_cell_length_b 4.815
_cell_length_c 4.815
_cell_angle_alpha 90.00
_cell_angle_beta 90.00
_cell_angle_gamma 90.00
loop_
_atom_site_label
_atom_site_type_symbol
_atom_site_fract_x
_atom_site_fract_y
_atom_site_fract_z
Hf1 Hf 0.000 0.000 0.000
Ga1 Ga 0.500 0.500 0.500
Re1 Re 0.000 0.000 0.500
# ΔE_f	2.517	eV per atom
# polymorph energy (0 for the lowest one)	1190	meV/atom
# Fermi-level density of states	5.0	states/eV/cell

=====

Entry 8:
# Sr4LiHg3 (PBE, relaxed)
data_Sr4LiHg3
_chemical_formula_sum 'Sr4 Li1 Hg3'
_space_group_name_H-M_alt 'P m m m'
_space_group_IT_number 47
_cell_length_a 4.086
_cell_length_b 5.654
_cell_length_c 11.382
_cell_angle_alpha 90.00
_cell_angle_beta 90.00
_cell_angle_gamma 90.00
loop_
_space_group_symop_operation_xyz
'x,y,z'
'-x,-y,-z'
'-x,-y,z'
'x,y,-z'
'x,-y,-z'
'-x,y,z'
'-x,y,-z'
'x,-y,z'
loop_
_atom_site_label
_atom_site_type_symbol
_atom_site_fract_x
_atom_site_fract_y
_atom_site_fract_z
Sr1 Sr 0.000 0.000 0.000
Sr2 Sr 0.000 0.000 0.500
Sr3 Sr 0.000 0.500 0.240
Li1 Li 0.500 0.500 0.500
Hg1 Hg 0.500 0.000 0.261
Hg2 Hg 0.500 0.500 0.000
# ΔE_f	-0.409	eV per atom
# polymorph energy (0 for the lowest one)	0	meV/atom
# Fermi-level density of states	6.3	states/eV/cell

=====

Entry 9:
# AcGeP2O8 (PBE, relaxed)
data_AcGeP2O8
_chemical_formula_sum 'Ac2 Ge2 P4 O16'
_space_group_name_H-M_alt 'C 1 2/m 1'
_space_group_IT_number 12
_cell_length_a 9.463
_cell_length_b 5.319
_cell_length_c 6.332
_cell_angle_alpha 90.00
_cell_angle_beta 112.13
_cell_angle_gamma 90.00
loop_
_space_group_symop_operation_xyz
'x,y,z'
'-x,-y,-z'
'-x,y,-z'
'x,-y,z'
'x+1/2,y+1/2,z'
'-x+1/2,-y+1/2,-z'
'-x+1/2,y+1/2,-z'
'x+1/2,-y+1/2,z'
loop_
_atom_site_label
_atom_site_type_symbol
_atom_site_fract_x
_atom_site_fract_y
_atom_site_fract_z
Ac1 Ac 0.000 0.000 0.000
Ge1 Ge 0.000 0.500 0.500
P1 P 0.210 0.000 0.662
O1 O 0.112 0.500 0.234
O2 O 0.146 0.234 0.751
O3 O 0.153 0.000 0.405
# Fermi-level density of states	5.2	states/eV/cell
# formation energy (no corrections)	-2.30	eV per atom

=====

Entry 10:
# Ce3ThGa4 (PBE, relaxed)
data_Ce3ThGa4
_chemical_formula_sum 'Ce9 Th3 Ga12'
_space_group_name_H-M_alt 'R -3 m'
_space_group_IT_number 166
_space_group_name_Hall '-R 3 2"'
_cell_length_a 5.1799
_cell_length_b 5.1799
_cell_length_c 25.3088
_cell_angle_alpha 90.00
_cell_angle_beta 90.00
_cell_angle_gamma 120.00
loop_
_atom_site_label
_atom_site_type_symbol
_atom_site_fract_x
_atom_site_fract_y
_atom_site_fract_z
Ce1 Ce 0.0000 0.0000 0.0000
Ce2 Ce 0.0000 0.0000 0.2486
Th1 Th 0.0000 0.0000 0.5000
Ga1 Ga 0.0000 0.0000 0.1241
Ga2 Ga 0.0000 0.0000 0.3740
# ΔE_f	-0.431	eV per atom
# Fermi-level density of states	54.5	states/eV/cell

=====

Entry 11:
# Al2CdSe (PBE, relaxed)
data_Al2CdSe
_chemical_formula_sum 'Al8 Cd4 Se4'
_space_group_name_H-M_alt 'F -4 3 m'
_space_group_IT_number 216
_space_group_name_Hall 'F -4 2 3'
_cell_length_a 6.934
_cell_length_b 6.934
_cell_length_c 6.934
_cell_angle_alpha 90.00
_cell_angle_beta 90.00
_cell_angle_gamma 90.00
loop_
_atom_site_label
_atom_site_type_symbol
_atom_site_fract_x
_atom_site_fract_y
_atom_site_fract_z
Al1 Al 0.000 0.000 0.000
Al2 Al 0.250 0.250 0.250
Cd1 Cd 0.250 0.250 0.750
Se1 Se 0.000 0.000 0.500
# polymorph energy (0 for the lowest one)	411	meV/atom
# Fermi-level density of states	18.1	states/eV/cell
# formation energy (no corrections)	0.28	eV per atom

=====

Entry 12:
# Mg6Np (PBE, relaxed)
data_Mg6Np
_chemical_formula_sum 'Mg12 Np2'
_space_group_name_H-M_alt 'I m -3 m'
_space_group_IT_number 229
_space_group_name_Hall '-I 4 2 3'
_cell_length_a 7.738
_cell_length_b 7.738
_cell_length_c 7.738
_cell_angle_alpha 90.00
_cell_angle_beta 90.00
_cell_angle_gamma 90.00
loop_
_atom_site_label
_atom_site_type_symbol
_atom_site_fract_x
_atom_site_fract_y
_atom_site_fract_z
Mg1 Mg 0.000 0.250 0.500
Np1 Np 0.000 0.000 0.000
# ΔE_f	0.960	eV per atom
# Fermi-level density of states	34.6	states/eV/cell